DFT (PBE) results for a geometry-optimized CsPaS2O8 structure.

Computed properties:
Space group: P-3m1 (164)
Final energy in eV per atom: -6.706

a = 5.6290 Å, b = 5.6290 Å, c = 8.9331 Å
α = 90.00°, β = 90.00°, γ = 120.00°
Last column: magnetic moment on the atom in μB.
Atoms (fractional coordinates):
O (0.8111, 0.1889, 0.1672)  -0.01
O (0.6667, 0.3333, 0.3903)  0.00
O (0.1889, 0.3779, 0.8328)  -0.01
O (0.3779, 0.1889, 0.1672)  -0.01
O (0.3333, 0.6667, 0.6097)  0.00
O (0.8111, 0.6221, 0.1672)  -0.01
O (0.6221, 0.8111, 0.8328)  -0.01
O (0.1889, 0.8111, 0.8328)  -0.01
S (0.3333, 0.6667, 0.7728)  0.02
S (0.6667, 0.3333, 0.2272)  0.02
Pa (0.0000, 0.0000, 0.0000)  1.80
Cs (0.0000, 0.0000, 0.5000)  0.00

---

DFT (PBE) results for a geometry-optimized CsPaSO2 structure.

Computed properties:
Space group: P4mm (99)
Final energy in eV per atom: -7.376

a = 4.4555 Å, b = 4.4555 Å, c = 5.4450 Å
α = 90.00°, β = 90.00°, γ = 90.00°
Atoms (fractional coordinates):
S (0.0000, 0.0000, 0.4979)
O (0.5000, 0.0000, 0.9980)
O (0.0000, 0.5000, 0.9980)
Cs (0.5000, 0.5000, 0.5067)
Pa (0.0000, 0.0000, 0.9995)

---

Which formation energy without anion corrections belongs to each record? In order, -1.85 -2.50 eV/atom.